No. 1
Material: Er2ZrAg6
Method: DFT, PBE
State: optimized geometry

Cell: 5.192 8.746 8.746 Å, 75.96 81.87 81.87°
Element x y z (fractional)
Er (0.414, 0.542, 0.792)
Er (0.086, 0.208, 0.458)
Er (0.586, 0.458, 0.208)
Er (0.914, 0.792, 0.542)
Zr (0.250, 0.122, 0.878)
Zr (0.750, 0.878, 0.122)
Ag (0.473, 0.688, 0.425)
Ag (0.027, 0.575, 0.312)
Ag (0.527, 0.312, 0.575)
Ag (0.973, 0.425, 0.688)
Ag (0.641, 0.093, 0.342)
Ag (0.859, 0.658, 0.907)
Ag (0.359, 0.907, 0.658)
Ag (0.141, 0.342, 0.093)
Ag (0.303, 0.769, 0.015)
Ag (0.197, 0.985, 0.231)
Ag (0.697, 0.231, 0.985)
Ag (0.803, 0.015, 0.769)

Output
N(E_F) = 0.716 states/eV per atom
Formation energy from the elements = -118 meV/atom
SG = No. 15
Final energy = -3.982 eV per atom
Crystal system = monoclinic

***

No. 2
Material: Dy2HoThAs4
Method: DFT, PBE
State: optimized geometry

Cell: 4.159 7.185 7.182 Å, 70.52 90.00 90.00°
Element x y z (fractional)
Dy (0.000, 0.000, 0.000)
Dy (0.500, 0.000, 0.500)
Ho (0.000, 0.500, 0.500)
Th (0.500, 0.500, 0.000)
As (0.000, 0.755, 0.744)
As (0.000, 0.245, 0.256)
As (0.500, 0.751, 0.253)
As (0.500, 0.249, 0.747)

Output
N(E_F) = 0.188 states/eV per atom
Formation energy from the elements = -1513 meV/atom
SG = No. 10
Final energy = -6.488 eV per atom
Crystal system = monoclinic

***

No. 3
Material: TlGeIO6
Method: DFT, PBE
State: optimized geometry

Cell: 5.118 5.118 6.430 Å, 90.00 90.00 60.00°
Element x y z (fractional)
Tl (0.000, 0.000, 0.000)
Ge (0.667, 0.667, 0.500)
I (0.333, 0.333, 0.500)
O (0.002, 0.383, 0.330)
O (0.383, 0.002, 0.669)
O (0.615, 0.383, 0.669)
O (0.002, 0.615, 0.669)
O (0.383, 0.615, 0.330)
O (0.615, 0.002, 0.330)

Output
N(E_F) = 0.000 states/eV per atom
E_form (uncorrected) = -0.82 eV/atom
SG = No. 149
Final energy = -5.071 eV per atom
Crystal system = trigonal

***

No. 4
Material: Zr4NbOs5
Method: DFT, PBE
State: optimized geometry

Cell: 3.271 3.271 16.294 Å, 90.00 90.00 90.00°
Element x y z (fractional)
Zr (0.000, 0.000, 0.197)
Zr (0.000, 0.000, 0.399)
Zr (0.000, 0.000, 0.601)
Zr (0.000, 0.000, 0.803)
Nb (0.000, 0.000, 0.000)
Os (0.500, 0.500, 0.095)
Os (0.500, 0.500, 0.297)
Os (0.500, 0.500, 0.500)
Os (0.500, 0.500, 0.703)
Os (0.500, 0.500, 0.905)

Output
N(E_F) = 0.392 states/eV per atom
Formation energy from the elements = -431 meV/atom
SG = No. 123
Final energy = -10.472 eV per atom
Crystal system = tetragonal

***

No. 5
Material: RbNaVSe4
Method: DFT, PBE
State: optimized geometry

Cell: 7.444 6.045 10.035 Å, 90.00 104.42 90.00°
Element x y z (fractional)
Rb (0.739, 0.750, 0.958)
Rb (0.261, 0.250, 0.042)
Na (0.756, 0.750, 0.448)
Na (0.244, 0.250, 0.552)
V (0.239, 0.750, 0.327)
V (0.761, 0.250, 0.673)
Se (0.995, 0.519, 0.731)
Se (0.005, 0.019, 0.269)
Se (0.005, 0.481, 0.269)
Se (0.995, 0.981, 0.731)
Se (0.440, 0.750, 0.188)
Se (0.560, 0.250, 0.812)
Se (0.381, 0.750, 0.552)
Se (0.619, 0.250, 0.448)

Output
N(E_F) = 0.250 states/eV per atom
E_form (uncorrected) = -0.79 eV/atom
SG = No. 11
Final energy = -4.411 eV per atom
Crystal system = monoclinic

***

No. 6
Material: LiYScSb
Method: DFT, PBE
State: optimized geometry

Cell: 5.048 5.048 5.048 Å, 60.00 60.00 60.00°
Element x y z (fractional)
Y (0.750, 0.750, 0.750)
Sb (0.500, 0.500, 0.500)
Sc (0.250, 0.250, 0.250)
Li (0.000, 0.000, 0.000)

Output
N(E_F) = 0.943 states/eV per atom
E_form (uncorrected) = -0.43 eV/atom
SG = No. 216
Final energy = -5.139 eV per atom
Crystal system = cubic

***

No. 7
Material: Nd2YAg
Method: DFT, PBE
State: optimized geometry

Cell: 3.793 6.507 10.215 Å, 90.00 90.00 106.92°
Element x y z (fractional)
Nd (0.368, 0.736, 0.548)
Nd (0.632, 0.264, 0.452)
Nd (0.368, 0.736, 0.952)
Nd (0.632, 0.264, 0.048)
Y (0.943, 0.885, 0.250)
Y (0.057, 0.115, 0.750)
Ag (0.756, 0.512, 0.750)
Ag (0.244, 0.488, 0.250)

Output
N(E_F) = 1.324 states/eV per atom
Offset from the most stable computed form = 4.5 meV per atom
Formation energy from the elements = -119 meV/atom
SG = No. 63
Final energy = -4.832 eV per atom
Crystal system = orthorhombic

***

No. 8
Material: K2BePbO4
Method: DFT, PBE
State: optimized geometry

Cell: 5.197 6.481 10.963 Å, 84.55 76.29 66.36°
Element x y z (fractional)
K (0.185, 0.000, 0.630)
K (0.815, 0.000, 0.370)
K (0.565, 0.500, 0.870)
K (0.935, 0.500, 0.130)
Be (0.250, 0.500, 0.500)
Be (0.500, 0.000, 0.000)
Pb (0.750, 0.500, 0.500)
Pb (0.000, 0.000, 0.000)
O (0.350, 0.823, 0.081)
O (0.255, 0.177, 0.919)
O (0.827, 0.823, 0.919)
O (0.568, 0.177, 0.081)
O (0.400, 0.677, 0.419)
O (0.495, 0.323, 0.581)
O (0.923, 0.677, 0.581)
O (0.182, 0.323, 0.419)

Output
E_form (uncorrected) = -1.33 eV/atom
SG = No. 70
Final energy = -5.010 eV per atom
Crystal system = orthorhombic